This record from Alexandria describes a geometry-optimized PuTcB structure. The functional is PBE.

Density = 12.9 g/cm3
Offset from the most stable computed form = 0 meV/atom
DFT total energy = -10.551 eV/atom
Total magnetization = 4.7 μB/f.u.

Cell lengths 5.298, 5.298, 5.298 Å; angles 146.43, 146.43, 48.20 degrees
Sites, in units of the cell vectors:
Pu 0.000 0.000 0.000
Tc 0.268 0.268 0.000
B 0.710 0.710 0.000